Below is crystalline TbLuGe at its relaxed geometry, with properties calculated at the PBE-GGA level.

Results
The energy comes out at -5.100 eV/atom. As for the energy above the most stable polymorph in this dataset: 0.000 eV/atom.

abc: 4.835 4.835 4.835
angles: 60.00 60.00 60.00
Sites, in units of the cell vectors:
Ge (0.000, 0.000, 0.000)
Lu (0.250, 0.250, 0.250)
Tb (0.750, 0.750, 0.750)


Below is crystalline TbLuZn2Ge2 at its relaxed geometry, with properties calculated at the PBE-GGA level.

Results
The energy comes out at -4.131 eV/atom. As for the energy above the most stable polymorph in this dataset: 0.000 eV/atom.

abc: 4.221 4.221 15.403
angles: 90.00 90.00 120.00
Sites, in units of the cell vectors:
Tb (0.000, 0.000, 0.000)
Tb (0.000, 0.000, 0.500)
Zn (0.667, 0.333, 0.152)
Zn (0.333, 0.667, 0.848)
Zn (0.333, 0.667, 0.652)
Zn (0.667, 0.333, 0.348)
Ge (0.333, 0.667, 0.115)
Ge (0.667, 0.333, 0.885)
Ge (0.333, 0.667, 0.385)
Ge (0.667, 0.333, 0.615)
Lu (0.000, 0.000, 0.250)
Lu (0.000, 0.000, 0.750)


Below is crystalline LuTcGe2 at its relaxed geometry, with properties calculated at the PBE-GGA level.

Results
The energy comes out at -5.970 eV/atom.

abc: 4.670 4.670 4.670
angles: 60.00 60.00 60.00
Sites, in units of the cell vectors:
Ge (0.250, 0.250, 0.250)
Ge (0.000, 0.000, 0.000)
Tc (0.750, 0.750, 0.750)
Lu (0.500, 0.500, 0.500)


Below is crystalline Lu2TcGe at its relaxed geometry, with properties calculated at the PBE-GGA level.

Results
The energy comes out at -6.130 eV/atom.

abc: 4.743 4.743 4.743
angles: 60.00 60.00 60.00
Sites, in units of the cell vectors:
Ge (0.500, 0.500, 0.500)
Lu (0.750, 0.750, 0.750)
Lu (0.000, 0.000, 0.000)
Tc (0.250, 0.250, 0.250)